{
  "formula": "Pm3Pr4Tm5",
  "functional": "PBE-GGA",
  "state": "optimized geometry",
  "cell": [[8.065, -2.996, 0.000], [8.065, 2.996, 0.000], [-4.267, 0.000, 8.425]],
  "species": ["Pm", "Pm", "Pm", "Pr", "Pr", "Pr", "Pr", "Tm", "Tm", "Tm", "Tm", "Tm"],
  "frac_coords": [[0.000, 0.000, 0.000], [0.285, 0.285, 0.758], [0.715, 0.715, 0.242], [0.288, 0.288, 0.114], [0.414, 0.414, 0.551], [0.586, 0.586, 0.449], [0.712, 0.712, 0.886], [0.069, 0.069, 0.699], [0.170, 0.170, 0.379], [0.500, 0.500, 0.000], [0.830, 0.830, 0.621], [0.931, 0.931, 0.301]],
  "relative_energy_mev_per_atom": 199.2,
  "dos_ef_per_ev_atom": 1.58,
  "total_magnetization_mub_per_cell": 0.1,
  "e_form_ev_per_atom": 0.2192
}

{
  "formula": "FeTe2H",
  "functional": "PBE-GGA",
  "state": "optimized geometry",
  "cell": [[1.940, 1.120, 6.483], [-1.940, 1.120, 6.483], [0.000, -2.240, 6.483]],
  "species": ["Fe", "Te", "Te", "H"],
  "frac_coords": [[0.000, 0.000, 0.000], [0.398, 0.398, 0.398], [0.602, 0.602, 0.602], [0.500, 0.500, 0.500]],
  "relative_energy_mev_per_atom": 0.0,
  "dos_ef_per_ev_atom": 0.96,
  "total_magnetization_mub_per_cell": 0.6
}

{
  "formula": "SrCa2Ga2",
  "functional": "PBE-GGA",
  "state": "optimized geometry",
  "cell": [[-2.731, 2.731, 5.687], [2.731, -2.731, 5.687], [2.731, 2.731, -5.687]],
  "species": ["Sr", "Ca", "Ca", "Ga", "Ga"],
  "frac_coords": [[0.000, 0.000, 0.000], [0.346, 0.346, 0.000], [0.654, 0.654, 0.000], [0.250, 0.750, 0.500], [0.750, 0.250, 0.500]],
  "relative_energy_mev_per_atom": 208.0,
  "dos_ef_per_ev_atom": 0.60,
  "total_magnetization_mub_per_cell": 0.0,
  "e_form_ev_per_atom": -0.1228
}

{
  "formula": "BaMn2Mo",
  "functional": "PBE-GGA",
  "state": "optimized geometry",
  "cell": [[-1.700, 2.822, 4.810], [1.700, -2.822, 4.810], [1.700, 2.822, -4.810]],
  "species": ["Ba", "Mn", "Mn", "Mo"],
  "frac_coords": [[0.000, 0.000, 0.000], [0.301, 0.801, 0.500], [0.699, 0.199, 0.500], [0.500, 0.500, 0.000]],
  "relative_energy_mev_per_atom": 511.2,
  "dos_ef_per_ev_atom": 1.20,
  "total_magnetization_mub_per_cell": 6.1,
  "e_form_ev_per_atom": 1.0662
}

{
  "formula": "TbTm2Fe9",
  "functional": "PBE-GGA",
  "state": "optimized geometry",
  "cell": [[2.531, 1.462, 8.016], [-2.531, 1.462, 8.016], [0.000, -2.923, 8.016]],
  "species": ["Tb", "Tm", "Tm", "Fe", "Fe", "Fe", "Fe", "Fe", "Fe", "Fe", "Fe", "Fe"],
  "frac_coords": [[0.000, 0.000, 0.000], [0.142, 0.142, 0.142], [0.858, 0.858, 0.858], [0.082, 0.583, 0.583], [0.333, 0.333, 0.333], [0.417, 0.417, 0.918], [0.417, 0.918, 0.417], [0.500, 0.500, 0.500], [0.583, 0.082, 0.583], [0.583, 0.583, 0.082], [0.667, 0.667, 0.667], [0.918, 0.417, 0.417]],
  "dos_ef_per_ev_atom": 1.08,
  "total_magnetization_mub_per_cell": 16.2,
  "e_form_ev_per_atom": -0.1015
}

{
  "formula": "Dy2SbSe2",
  "functional": "PBE-GGA",
  "state": "optimized geometry",
  "cell": [[4.923, -5.330, 0.000], [4.923, 5.330, 0.000], [-3.410, 0.000, 5.723]],
  "species": ["Dy", "Dy", "Dy", "Dy", "Sb", "Sb", "Se", "Se", "Se", "Se"],
  "frac_coords": [[0.098, 0.902, 0.750], [0.322, 0.678, 0.250], [0.678, 0.322, 0.750], [0.902, 0.098, 0.250], [0.381, 0.619, 0.750], [0.619, 0.381, 0.250], [0.079, 0.281, 0.030], [0.281, 0.079, 0.530], [0.719, 0.921, 0.470], [0.921, 0.719, 0.970]],
  "formation_energy_uncorrected_ev_per_atom": -1.244,
  "dos_ef_per_ev_atom": 0.45,
  "total_magnetization_mub_per_cell": 0.0
}

{
  "formula": "Tb8Pm6Dy",
  "functional": "PBE-GGA",
  "state": "optimized geometry",
  "cell": [[9.421, 0.000, 0.000], [-4.710, 8.159, 0.000], [0.000, 0.000, 6.534]],
  "species": ["Tb", "Tb", "Tb", "Tb", "Tb", "Tb", "Tb", "Tb", "Pm", "Pm", "Pm", "Pm", "Pm", "Pm", "Dy"],
  "frac_coords": [[0.092, 0.653, 0.339], [0.333, 0.667, 0.878], [0.347, 0.439, 0.339], [0.439, 0.092, 0.661], [0.561, 0.908, 0.339], [0.653, 0.561, 0.661], [0.667, 0.333, 0.122], [0.908, 0.347, 0.661], [0.033, 0.749, 0.834], [0.251, 0.285, 0.834], [0.285, 0.033, 0.166], [0.715, 0.967, 0.834], [0.749, 0.715, 0.166], [0.967, 0.251, 0.166], [0.000, 0.000, 0.500]],
  "relative_energy_mev_per_atom": 58.3,
  "dos_ef_per_ev_atom": 1.51,
  "total_magnetization_mub_per_cell": 0.0,
  "e_form_ev_per_atom": 0.1772
}